(1)
{
  "formula": "Dy2MnCo",
  "functional": "PBE",
  "state": "optimized geometry",
  "cell": [[3.4307, 0.0000, 0.0000], [1.7153, 2.9710, 0.0000], [1.7153, 0.9903, 9.5340]],
  "species": ["Dy", "Dy", "Mn", "Co"],
  "fractional_positions": [[0.8944, 0.8944, 0.3169], [0.1056, 0.1056, 0.6831], [0.0000, 0.0000, 0.0000], [0.5000, 0.5000, 0.5000]],
  "e_tot_ev_per_atom": -5.845,
  "sg": "R-3m, No. 166",
  "n_ef_per_ev_fu": 3.48,
  "vol_a3_per_cell": 97.18,
  "e_form_mev_per_atom": 524.5
}

(2)
{
  "formula": "Dy2MnCo3P4",
  "functional": "PBE",
  "state": "optimized geometry",
  "cell": [[3.9255, 0.0000, 0.0000], [0.0000, 3.9255, 0.0000], [0.0000, 0.0000, 9.0589]],
  "species": ["P", "P", "P", "P", "Dy", "Dy", "Co", "Co", "Co", "Mn"],
  "fractional_positions": [[0.5000, 0.5000, 0.0000], [0.5000, 0.0000, 0.6308], [0.0000, 0.0000, 0.0000], [0.0000, 0.5000, 0.3692], [0.0000, 0.5000, 0.7592], [0.5000, 0.0000, 0.2408], [0.0000, 0.0000, 0.5000], [0.5000, 0.0000, 0.8851], [0.0000, 0.5000, 0.1149], [0.5000, 0.5000, 0.5000]],
  "e_tot_ev_per_atom": -7.111,
  "sg": "P-4m2, No. 115",
  "n_ef_per_ev_fu": 4.40,
  "vol_a3_per_cell": 139.59,
  "e_form_mev_per_atom": -978.3
}

(3)
{
  "formula": "DyMnCoSi2",
  "functional": "PBE",
  "state": "optimized geometry",
  "cell": [[-3.1580, -0.3161, 2.2850], [0.7021, -3.8218, 0.4416], [4.0264, 3.0455, 2.6394]],
  "species": ["Dy", "Co", "Si", "Si", "Mn"],
  "fractional_positions": [[0.0000, 0.0000, 0.0000], [0.7500, 0.2500, 0.5000], [0.3757, 0.3757, 0.7514], [0.6243, 0.6243, 0.2486], [0.2500, 0.7500, 0.5000]],
  "e_tot_ev_per_atom": -7.033,
  "sg": "I-4m2, No. 119",
  "n_ef_per_ev_fu": 5.09,
  "vol_a3_per_cell": 76.17
}

(4)
{
  "formula": "TbDyMnCo",
  "functional": "PBE",
  "state": "optimized geometry",
  "cell": [[-1.6491, -0.7557, 4.5430], [3.1637, -0.5755, 3.6864], [0.4719, 3.4981, 3.3868]],
  "species": ["Co", "Dy", "Tb", "Mn"],
  "fractional_positions": [[0.5000, 0.5000, 0.5000], [0.7500, 0.7500, 0.7500], [0.2500, 0.2500, 0.2500], [0.0000, 0.0000, 0.0000]],
  "e_tot_ev_per_atom": -6.298,
  "sg": "F-43m, No. 216",
  "n_ef_per_ev_fu": 3.83,
  "vol_a3_per_cell": 82.77,
  "e_form_mev_per_atom": 78.5
}

(5)
{
  "formula": "DyTmMnCo",
  "functional": "PBE",
  "state": "optimized geometry",
  "cell": [[4.8449, 0.0000, 0.0000], [2.4225, 4.1958, 0.0000], [2.4225, 1.3986, 3.9559]],
  "species": ["Mn", "Tm", "Co", "Dy"],
  "fractional_positions": [[0.0000, 0.0000, 0.0000], [0.7500, 0.7500, 0.7500], [0.5000, 0.5000, 0.5000], [0.2500, 0.2500, 0.2500]],
  "e_tot_ev_per_atom": -6.296,
  "sg": "F-43m, No. 216",
  "n_ef_per_ev_fu": 3.88,
  "vol_a3_per_cell": 80.42,
  "e_form_mev_per_atom": 41.5
}

(6)
{
  "formula": "DyCo10Mo2",
  "functional": "PBE",
  "state": "optimized geometry",
  "cell": [[-2.3379, 4.2119, 4.2187], [2.3379, -4.2119, 4.2187], [2.3379, 4.2119, -4.2187]],
  "species": ["Co", "Co", "Co", "Co", "Co", "Co", "Co", "Co", "Co", "Co", "Dy", "Mo", "Mo"],
  "fractional_positions": [[0.3591, 0.0000, 0.3591], [0.7898, 0.5000, 0.2898], [0.5000, 0.0000, 0.0000], [0.6409, 0.0000, 0.6409], [0.2102, 0.5000, 0.7102], [0.0000, 0.5000, 0.0000], [0.7800, 0.2800, 0.5000], [0.2200, 0.7200, 0.5000], [0.5000, 0.5000, 0.5000], [0.0000, 0.0000, 0.5000], [0.0000, 0.0000, 0.0000], [0.3581, 0.3581, 0.0000], [0.6419, 0.6419, 0.0000]],
  "e_tot_ev_per_atom": -7.523,
  "sg": "Immm, No. 71",
  "n_ef_per_ev_fu": 15.26,
  "vol_a3_per_cell": 166.16,
  "e_form_mev_per_atom": -36.4
}

(7)
{
  "formula": "Dy12Co3N5",
  "functional": "PBE",
  "state": "optimized geometry",
  "cell": [[13.0365, 0.0000, 0.0000], [-4.3455, 12.2909, 0.0000], [-4.3455, -6.1455, 10.6443]],
  "species": ["Dy", "Dy", "Dy", "Dy", "Dy", "Dy", "Dy", "Dy", "Dy", "Dy", "Dy", "Dy", "Dy", "Dy", "Dy", "Dy", "Dy", "Dy", "Dy", "Dy", "Dy", "Dy", "Dy", "Dy", "Dy", "Dy", "Dy", "Dy", "Dy", "Dy", "Dy", "Dy", "Dy", "Dy", "Dy", "Dy", "Dy", "Dy", "Dy", "Dy", "Dy", "Dy", "Dy", "Dy", "Dy", "Dy", "Dy", "Dy", "Co", "Co", "Co", "Co", "Co", "Co", "Co", "Co", "Co", "Co", "Co", "Co", "N", "N", "N", "N", "N", "N", "N", "N", "N", "N", "N", "N", "N", "N", "N", "N", "N", "N", "N", "N"],
  "fractional_positions": [[0.7936, 0.3189, 0.9154], [0.1811, 0.0966, 0.9748], [0.9154, 0.8189, 0.7936], [0.5252, 0.3189, 0.9034], [0.1811, 0.0846, 0.7064], [0.6218, 0.0252, 0.2064], [0.2064, 0.5252, 0.6218], [0.5846, 0.7064, 0.6811], [0.8782, 0.5846, 0.9034], [0.9034, 0.8189, 0.5252], [0.5966, 0.9748, 0.6811], [0.8189, 0.9034, 0.0252], [0.0252, 0.6218, 0.7064], [0.0846, 0.9034, 0.3782], [0.0252, 0.4034, 0.8189], [0.4154, 0.2936, 0.3189], [0.4748, 0.7936, 0.8782], [0.0966, 0.1811, 0.4748], [0.3189, 0.5252, 0.4034], [0.4154, 0.1218, 0.5966], [0.5252, 0.2064, 0.1218], [0.5846, 0.8782, 0.4034], [0.7064, 0.1218, 0.0252], [0.4034, 0.0252, 0.3189], [0.7936, 0.4748, 0.3782], [0.1218, 0.7064, 0.5252], [0.9034, 0.0846, 0.8782], [0.2936, 0.4154, 0.8189], [0.7064, 0.5846, 0.1811], [0.2064, 0.6811, 0.0846], [0.1218, 0.4154, 0.0966], [0.4034, 0.3782, 0.5846], [0.6218, 0.5966, 0.9154], [0.6811, 0.2064, 0.5846], [0.8189, 0.9154, 0.2936], [0.2936, 0.8782, 0.9748], [0.6811, 0.4748, 0.5966], [0.4748, 0.6811, 0.0966], [0.9748, 0.3782, 0.2936], [0.3782, 0.9748, 0.7936], [0.9748, 0.5966, 0.1811], [0.8782, 0.2936, 0.4748], [0.3782, 0.4034, 0.0846], [0.5966, 0.6218, 0.4154], [0.0846, 0.1811, 0.2064], [0.9154, 0.0966, 0.6218], [0.3189, 0.7936, 0.4154], [0.0966, 0.9154, 0.1218], [0.6250, 0.2500, 0.3750], [0.1250, 0.2500, 0.8750], [0.3750, 0.6250, 0.2500], [0.1250, 0.8750, 0.7500], [0.7500, 0.8750, 0.6250], [0.7500, 0.3750, 0.1250], [0.3750, 0.7500, 0.6250], [0.8750, 0.1250, 0.2500], [0.2500, 0.1250, 0.3750], [0.8750, 0.7500, 0.1250], [0.6250, 0.3750, 0.7500], [0.2500, 0.6250, 0.8750], [0.2500, 0.3750, 0.6250], [0.1250, 0.7500, 0.3750], [0.0000, 0.5000, 0.0000], [0.5000, 0.5000, 0.5000], [0.7500, 0.1250, 0.8750], [0.8750, 0.2500, 0.6250], [0.7500, 0.6250, 0.3750], [0.3750, 0.2500, 0.1250], [0.0000, 0.5000, 0.5000], [0.3750, 0.1250, 0.7500], [0.5000, 0.0000, 0.5000], [0.5000, 0.5000, 0.0000], [0.6250, 0.7500, 0.8750], [0.0000, 0.0000, 0.0000], [0.6250, 0.8750, 0.2500], [0.1250, 0.3750, 0.2500], [0.0000, 0.0000, 0.5000], [0.8750, 0.6250, 0.7500], [0.5000, 0.0000, 0.0000], [0.2500, 0.8750, 0.1250]],
  "e_tot_ev_per_atom": -6.632,
  "sg": "Ia-3d, No. 230",
  "n_ef_per_ev_fu": 15.02,
  "vol_a3_per_cell": 1705.53
}

(8)
{
  "formula": "Dy2CoN",
  "functional": "PBE",
  "state": "optimized geometry",
  "cell": [[-3.3892, 0.0361, 0.7845], [-1.4800, -2.7954, 1.4487], [-0.1953, 1.4640, 6.8025]],
  "species": ["N", "Dy", "Dy", "Co"],
  "fractional_positions": [[0.5000, 0.5000, 0.5000], [0.2366, 0.2366, 0.2902], [0.7634, 0.7634, 0.7098], [0.0000, 0.0000, 0.0000]],
  "e_tot_ev_per_atom": -6.814,
  "sg": "R-3m, No. 166",
  "n_ef_per_ev_fu": 2.79,
  "vol_a3_per_cell": 69.86
}

(9)
{
  "formula": "DyPa2CoN5",
  "functional": "PBE",
  "state": "optimized geometry",
  "cell": [[-1.9739, 2.7158, -0.0390], [-1.9338, -3.3990, 5.7163], [6.9075, 5.0975, 5.3682]],
  "species": ["N", "N", "N", "N", "N", "N", "N", "N", "N", "N", "Dy", "Dy", "Co", "Co", "Pa", "Pa", "Pa", "Pa"],
  "fractional_positions": [[0.9600, 0.9201, 0.5714], [0.2814, 0.5628, 0.6808], [0.4807, 0.9614, 0.7785], [0.3400, 0.6800, 0.3517], [0.3715, 0.7430, 0.9985], [0.6285, 0.2570, 0.4985], [0.5193, 0.0386, 0.2785], [0.0400, 0.0799, 0.0714], [0.6600, 0.3200, 0.8517], [0.7186, 0.4372, 0.1808], [0.1973, 0.3946, 0.0003], [0.8027, 0.6054, 0.5004], [0.5174, 0.0348, 0.9588], [0.4826, 0.9652, 0.4588], [0.8951, 0.7903, 0.1836], [0.8634, 0.7268, 0.8003], [0.1049, 0.2097, 0.6836], [0.1366, 0.2732, 0.3003]],
  "e_tot_ev_per_atom": -9.151,
  "sg": "Cmc2_1, No. 36",
  "n_ef_per_ev_fu": 2.84,
  "vol_a3_per_cell": 228.43
}

(10)
{
  "formula": "DyPaCoN4",
  "functional": "PBE",
  "state": "optimized geometry",
  "cell": [[-1.6132, 1.6415, 2.8560], [1.7566, -2.2615, 2.2920], [4.5374, 4.2396, -2.2290]],
  "species": ["Dy", "Co", "N", "N", "N", "N", "Pa"],
  "fractional_positions": [[0.6393, 0.6393, 0.2785], [0.0176, 0.0176, 0.0353], [0.9912, 0.4912, 0.9824], [0.4912, 0.9912, 0.9824], [0.1771, 0.1771, 0.3542], [0.8240, 0.8240, 0.6480], [0.3596, 0.3596, 0.7192]],
  "e_tot_ev_per_atom": -8.700,
  "sg": "I4mm, No. 107",
  "n_ef_per_ev_fu": 3.38,
  "vol_a3_per_cell": 81.62
}

(11)
{
  "formula": "Dy2PuCoN4",
  "functional": "PBE",
  "state": "optimized geometry",
  "cell": [[3.3247, 0.0000, 0.0000], [-1.6623, 5.5834, 0.0000], [0.0000, 0.0000, 11.5385]],
  "species": ["N", "N", "N", "N", "N", "N", "N", "N", "Dy", "Dy", "Dy", "Dy", "Pu", "Pu", "Co", "Co"],
  "fractional_positions": [[0.4458, 0.8915, 0.7500], [0.0000, 0.0000, 0.0000], [0.2766, 0.5532, 0.1339], [0.0000, 0.0000, 0.5000], [0.7234, 0.4468, 0.8661], [0.2766, 0.5532, 0.3661], [0.5542, 0.1085, 0.2500], [0.7234, 0.4468, 0.6339], [0.6309, 0.2619, 0.4484], [0.6309, 0.2619, 0.0516], [0.3691, 0.7381, 0.5516], [0.3691, 0.7381, 0.9484], [0.1094, 0.2189, 0.7500], [0.8906, 0.7811, 0.2500], [0.8462, 0.6925, 0.7500], [0.1538, 0.3075, 0.2500]],
  "e_tot_ev_per_atom": -9.021,
  "sg": "Cmcm, No. 63",
  "n_ef_per_ev_fu": 8.42,
  "vol_a3_per_cell": 214.19
}

(12)
{
  "formula": "DyCoSiN",
  "functional": "PBE",
  "state": "optimized geometry",
  "cell": [[-0.9676, -0.9237, 3.4345], [-2.9802, -1.7320, -1.3054], [4.2494, -6.8300, -0.6397]],
  "species": ["Co", "Co", "Dy", "Dy", "N", "N", "Si", "Si"],
  "fractional_positions": [[0.5000, 0.5000, 0.5000], [0.0000, 0.0000, 0.5000], [0.0000, 0.5000, 0.8422], [0.5000, 0.0000, 0.1578], [0.0000, 0.5000, 0.1264], [0.5000, 0.0000, 0.8736], [0.0000, 0.5000, 0.3458], [0.5000, 0.0000, 0.6542]],
  "e_tot_ev_per_atom": -7.479,
  "sg": "P4/nmm, No. 129",
  "n_ef_per_ev_fu": 2.44,
  "vol_a3_per_cell": 109.63
}

Question: Number 5 is which compound?
Answer: DyTmMnCo